Entry from Alexandria via LeMat-Bulk: crystalline Nd4HoTh3Se8 at its relaxed geometry (PBE).

Results
density of states at the Fermi level	8.6	states/eV per cell

Lattice parameters (Å, degrees): 8.364 8.433 8.364 119.73 120.00 90.00
Fractional coordinates of all 16 atoms:
1 Se 0.250 0.249 0.499
2 Se 0.750 0.751 0.501
3 Se 0.245 0.745 0.489
4 Se 0.755 0.255 0.511
5 Se 0.245 0.745 0.000
6 Se 0.756 0.745 0.000
7 Se 0.755 0.255 0.000
8 Se 0.244 0.255 0.000
9 Nd 0.500 0.000 0.000
10 Nd 0.000 0.000 0.500
11 Nd 0.500 0.000 0.500
12 Nd 0.000 0.000 0.000
13 Th 0.500 0.500 0.000
14 Th 0.500 0.500 0.500
15 Th 0.000 0.500 0.500
16 Ho 0.000 0.500 0.000

---

Entry from Alexandria via LeMat-Bulk: crystalline Nd2HoThSe4 at its relaxed geometry (PBE).

Results
density of states at the Fermi level	4.3	states/eV per cell

Lattice parameters (Å, degrees): 4.148 7.302 7.233 109.09 90.00 90.00
Fractional coordinates of all 8 atoms:
1 Nd 0.000 0.500 0.500
2 Nd 0.500 0.000 0.500
3 Se 0.000 0.756 0.245
4 Se 0.000 0.244 0.755
5 Se 0.500 0.239 0.239
6 Se 0.500 0.761 0.761
7 Ho 0.000 0.000 0.000
8 Th 0.500 0.500 0.000

---

Entry from Alexandria via LeMat-Bulk: crystalline NdHoTh2Se4 at its relaxed geometry (PBE).

Results
density of states at the Fermi level	5.2	states/eV per cell

Lattice parameters (Å, degrees): 4.145 7.089 7.403 109.01 90.00 90.00
Fractional coordinates of all 8 atoms:
1 Se 0.000 0.261 0.762
2 Se 0.500 0.745 0.757
3 Se 0.500 0.255 0.243
4 Se 0.000 0.739 0.238
5 Th 0.500 0.000 0.500
6 Th 0.000 0.500 0.500
7 Ho 0.500 0.500 0.000
8 Nd 0.000 0.000 0.000

---

Entry from Alexandria via LeMat-Bulk: crystalline Nd2HoTh3Se6 at its relaxed geometry (PBE).

Results
density of states at the Fermi level	9.1	states/eV per cell

Lattice parameters (Å, degrees): 4.141 8.478 9.493 106.19 102.60 90.00
Fractional coordinates of all 12 atoms:
1 Th 0.169 0.835 0.338
2 Th 0.500 0.500 0.000
3 Th 0.831 0.165 0.662
4 Se 0.667 0.582 0.335
5 Se 0.333 0.418 0.665
6 Se 0.339 0.919 0.677
7 Se 0.999 0.238 0.998
8 Se 0.661 0.081 0.323
9 Se 0.001 0.762 0.002
10 Nd 0.834 0.667 0.667
11 Nd 0.166 0.333 0.333
12 Ho 0.500 0.000 0.000

---

Entry from Alexandria via LeMat-Bulk: crystalline Nd4Ho3ThSe8 at its relaxed geometry (PBE).

Results
density of states at the Fermi level	9.8	states/eV per cell

Lattice parameters (Å, degrees): 8.303 8.362 8.304 119.79 120.00 90.00
Fractional coordinates of all 16 atoms:
1 Se 0.261 0.262 0.011
2 Se 0.751 0.262 0.011
3 Se 0.249 0.738 0.499
4 Se 0.256 0.267 0.511
5 Se 0.739 0.738 0.989
6 Se 0.744 0.733 0.489
7 Se 0.249 0.738 0.989
8 Se 0.751 0.262 0.501
9 Nd 0.000 0.000 0.000
10 Nd 0.500 0.000 0.500
11 Nd 0.000 0.000 0.500
12 Nd 0.500 0.000 0.000
13 Ho 0.500 0.500 0.000
14 Ho 0.500 0.500 0.500
15 Ho 0.000 0.500 0.500
16 Th 0.000 0.500 0.000

---

Entry from Alexandria via LeMat-Bulk: crystalline NdHo2ThSe4 at its relaxed geometry (PBE).

Results
density of states at the Fermi level	4.1	states/eV per cell

Lattice parameters (Å, degrees): 4.071 7.313 7.098 71.28 90.00 90.00
Fractional coordinates of all 8 atoms:
1 Se 0.000 0.766 0.744
2 Se 0.000 0.234 0.256
3 Se 0.500 0.767 0.244
4 Se 0.500 0.233 0.756
5 Nd 0.500 0.500 0.000
6 Th 0.000 0.500 0.500
7 Ho 0.000 0.000 0.000
8 Ho 0.500 0.000 0.500

---

Entry from Alexandria via LeMat-Bulk: crystalline Nd2HoTl3Se6 at its relaxed geometry (PBE).

Lattice parameters (Å, degrees): 7.404 7.404 8.144 98.72 98.72 119.98
Fractional coordinates of all 12 atoms:
1 Nd 0.667 0.333 0.000
2 Nd 0.333 0.667 0.000
3 Tl 0.500 0.500 0.500
4 Tl 0.832 0.168 0.500
5 Tl 0.168 0.832 0.500
6 Ho 0.000 0.000 0.000
7 Se 0.069 0.393 0.208
8 Se 0.746 0.746 0.210
9 Se 0.931 0.607 0.792
10 Se 0.393 0.069 0.208
11 Se 0.607 0.931 0.792
12 Se 0.254 0.254 0.790

---

Entry from Alexandria via LeMat-Bulk: crystalline Nd3HoTl4Se8 at its relaxed geometry (PBE).

Lattice parameters (Å, degrees): 8.572 9.208 8.573 117.74 120.00 90.00
Fractional coordinates of all 16 atoms:
1 Tl 0.500 0.000 0.000
2 Tl 0.000 0.000 0.500
3 Tl 0.500 0.000 0.500
4 Tl 0.000 0.000 0.000
5 Se 0.745 0.708 0.977
6 Se 0.738 0.712 0.476
7 Se 0.768 0.292 0.536
8 Se 0.768 0.292 0.023
9 Se 0.255 0.292 0.023
10 Se 0.232 0.708 0.977
11 Se 0.262 0.288 0.524
12 Se 0.232 0.708 0.464
13 Ho 0.000 0.500 0.000
14 Nd 0.500 0.500 0.500
15 Nd 0.000 0.500 0.500
16 Nd 0.500 0.500 0.000

---

Entry from Alexandria via LeMat-Bulk: crystalline NdHoTl2Se4 at its relaxed geometry (PBE).

Lattice parameters (Å, degrees): 4.248 7.362 8.142 107.50 90.00 90.00
Fractional coordinates of all 8 atoms:
1 Se 0.000 0.745 0.209
2 Se 0.500 0.227 0.205
3 Se 0.000 0.255 0.791
4 Se 0.500 0.773 0.795
5 Nd 0.500 0.500 0.000
6 Tl 0.000 0.500 0.500
7 Tl 0.500 0.000 0.500
8 Ho 0.000 0.000 0.000

---

Entry from Alexandria via LeMat-Bulk: crystalline Nd4HoTm3Se8 at its relaxed geometry (PBE).

Results
density of states at the Fermi level	8.3	states/eV per cell

Lattice parameters (Å, degrees): 8.128 8.401 8.130 118.94 119.99 90.00
Fractional coordinates of all 16 atoms:
1 Se 0.244 0.730 0.489
2 Se 0.244 0.730 0.986
3 Se 0.756 0.270 0.511
4 Se 0.743 0.729 0.486
5 Se 0.756 0.270 0.014
6 Se 0.741 0.730 0.986
7 Se 0.257 0.271 0.514
8 Se 0.259 0.270 0.014
9 Tm 0.500 0.500 0.500
10 Tm 0.000 0.500 0.500
11 Tm 0.500 0.500 0.000
12 Nd 0.500 0.000 0.000
13 Nd 0.500 0.000 0.500
14 Nd 0.000 0.000 0.500
15 Nd 0.000 0.000 0.000
16 Ho 0.000 0.500 0.000

---

Entry from Alexandria via LeMat-Bulk: crystalline NdHo4TmSe8 at its relaxed geometry (PBE).

Results
density of states at the Fermi level	8.9	states/eV per cell

Lattice parameters (Å, degrees): 8.429 8.429 8.415 59.94 59.94 60.00
Fractional coordinates of all 14 atoms:
1 Ho 0.624 0.624 0.127
2 Ho 0.999 0.999 0.499
3 Ho 0.999 0.502 0.499
4 Ho 0.502 0.999 0.499
5 Se 0.784 0.237 0.741
6 Se 0.237 0.237 0.741
7 Se 0.237 0.784 0.741
8 Se 0.759 0.759 0.254
9 Se 0.759 0.228 0.254
10 Se 0.228 0.759 0.254
11 Se 0.757 0.757 0.730
12 Se 0.239 0.239 0.283
13 Nd 0.375 0.375 0.874
14 Tm 0.999 0.999 0.002

---

Entry from Alexandria via LeMat-Bulk: crystalline NdHo2TmSe6 at its relaxed geometry (PBE).

Results
density of states at the Fermi level	0.0	states/eV per cell

Lattice parameters (Å, degrees): 7.236 7.236 7.713 62.01 62.02 59.99
Fractional coordinates of all 10 atoms:
1 Se 0.918 0.608 0.247
2 Se 0.608 0.227 0.247
3 Se 0.723 0.128 0.751
4 Se 0.398 0.723 0.751
5 Se 0.128 0.398 0.751
6 Se 0.227 0.918 0.247
7 Tm 0.319 0.319 0.043
8 Ho 0.012 0.012 0.965
9 Ho 0.516 0.515 0.454
10 Nd 0.813 0.813 0.560

---

Entry from Alexandria via LeMat-Bulk: crystalline NdHo3Tm2Se6 at its relaxed geometry (PBE).

Results
density of states at the Fermi level	5.1	states/eV per cell

Lattice parameters (Å, degrees): 7.063 7.063 7.050 99.54 99.54 120.26
Fractional coordinates of all 12 atoms:
1 Nd 0.000 0.000 0.000
2 Se 0.264 0.264 0.752
3 Se 0.916 0.568 0.745
4 Se 0.432 0.084 0.255
5 Se 0.568 0.916 0.745
6 Se 0.084 0.432 0.255
7 Se 0.736 0.736 0.248
8 Tm 0.335 0.665 0.000
9 Tm 0.665 0.335 0.000
10 Ho 0.843 0.157 0.500
11 Ho 0.500 0.500 0.500
12 Ho 0.157 0.843 0.500

---

Entry from Alexandria via LeMat-Bulk: crystalline Nd2HoTmSe4 at its relaxed geometry (PBE).

Results
density of states at the Fermi level	3.6	states/eV per cell

Lattice parameters (Å, degrees): 4.055 7.061 7.364 108.49 90.00 90.00
Fractional coordinates of all 8 atoms:
1 Nd 0.500 0.000 0.500
2 Nd 0.000 0.500 0.500
3 Tm 0.000 0.000 0.000
4 Se 0.500 0.759 0.769
5 Se 0.000 0.746 0.232
6 Se 0.000 0.254 0.768
7 Se 0.500 0.241 0.231
8 Ho 0.500 0.500 0.000

---

Entry from Alexandria via LeMat-Bulk: crystalline Nd2Ho3TmSe6 at its relaxed geometry (PBE).

Results
density of states at the Fermi level	5.7	states/eV per cell

Lattice parameters (Å, degrees): 4.079 8.285 9.193 103.22 102.82 90.00
Fractional coordinates of all 12 atoms:
1 Se 0.004 0.756 0.009
2 Se 0.337 0.929 0.674
3 Se 0.662 0.592 0.323
4 Se 0.996 0.244 0.991
5 Se 0.663 0.071 0.326
6 Se 0.338 0.408 0.677
7 Nd 0.169 0.337 0.339
8 Nd 0.831 0.663 0.661
9 Tm 0.500 0.000 0.000
10 Ho 0.172 0.834 0.344
11 Ho 0.500 0.500 0.000
12 Ho 0.828 0.166 0.656

---

Entry from Alexandria via LeMat-Bulk: crystalline NdHoTm2Se6 at its relaxed geometry (PBE).

Results
density of states at the Fermi level	0.0	states/eV per cell

Lattice parameters (Å, degrees): 7.220 7.221 7.687 61.99 61.99 60.00
Fractional coordinates of all 10 atoms:
1 Tm 0.011 0.011 0.967
2 Tm 0.514 0.514 0.457
3 Se 0.728 0.130 0.748
4 Se 0.131 0.393 0.748
5 Se 0.393 0.728 0.748
6 Se 0.230 0.911 0.246
7 Se 0.613 0.230 0.246
8 Se 0.911 0.613 0.246
9 Nd 0.812 0.812 0.563
10 Ho 0.318 0.318 0.046

---

Entry from Alexandria via LeMat-Bulk: crystalline Nd4Ho3TmSe8 at its relaxed geometry (PBE).

Results
density of states at the Fermi level	8.5	states/eV per cell

Lattice parameters (Å, degrees): 8.166 8.398 8.167 119.10 119.99 90.00
Fractional coordinates of all 16 atoms:
1 Se 0.744 0.733 0.489
2 Se 0.757 0.269 0.011
3 Se 0.243 0.731 0.989
4 Se 0.243 0.731 0.486
5 Se 0.746 0.731 0.989
6 Se 0.757 0.269 0.514
7 Se 0.256 0.267 0.511
8 Se 0.254 0.269 0.011
9 Nd 0.500 0.000 0.500
10 Nd 0.000 0.000 0.000
11 Nd 0.500 0.000 0.000
12 Nd 0.000 0.000 0.500
13 Tm 0.000 0.500 0.000
14 Ho 0.000 0.500 0.500
15 Ho 0.500 0.500 0.500
16 Ho 0.500 0.500 0.000

---

Entry from Alexandria via LeMat-Bulk: crystalline Nd2YHoSe5 at its relaxed geometry (PBE).

Results
density of states at the Fermi level	6.4	states/eV per cell

Lattice parameters (Å, degrees): 5.125 5.125 10.724 90.00 90.00 90.00
Fractional coordinates of all 9 atoms:
1 Se 0.500 0.500 0.000
2 Se 0.000 0.500 0.500
3 Se 0.000 0.000 0.754
4 Se 0.000 0.000 0.246
5 Se 0.500 0.000 0.500
6 Nd 0.500 0.500 0.320
7 Nd 0.500 0.500 0.680
8 Ho 0.000 0.000 0.500
9 Y 0.000 0.000 0.000

---

Entry from Alexandria via LeMat-Bulk: crystalline Nd3YHo2Se6 at its relaxed geometry (PBE).

Results
density of states at the Fermi level	5.7	states/eV per cell

Lattice parameters (Å, degrees): 7.131 7.131 7.297 99.36 99.36 120.28
Fractional coordinates of all 12 atoms:
1 Nd 0.165 0.835 0.500
2 Nd 0.835 0.165 0.500
3 Nd 0.500 0.500 0.500
4 Ho 0.334 0.666 0.000
5 Ho 0.666 0.334 0.000
6 Se 0.257 0.257 0.766
7 Se 0.743 0.743 0.234
8 Se 0.414 0.078 0.235
9 Se 0.922 0.586 0.765
10 Se 0.078 0.414 0.235
11 Se 0.586 0.922 0.765
12 Y 0.000 0.000 0.000

---

Entry from Alexandria via LeMat-Bulk: crystalline NdY3Ho4Se8 at its relaxed geometry (PBE).

Results
density of states at the Fermi level	10.6	states/eV per cell

Lattice parameters (Å, degrees): 8.170 8.196 8.170 119.90 120.00 90.00
Fractional coordinates of all 16 atoms:
1 Se 0.249 0.247 0.498
2 Se 0.751 0.753 0.502
3 Se 0.253 0.242 0.998
4 Se 0.255 0.758 0.002
5 Se 0.745 0.242 0.489
6 Se 0.255 0.758 0.511
7 Se 0.745 0.242 0.998
8 Se 0.747 0.758 0.002
9 Ho 0.000 0.000 0.000
10 Ho 0.000 0.000 0.500
11 Ho 0.500 0.000 0.000
12 Ho 0.500 0.000 0.500
13 Y 0.000 0.500 0.500
14 Y 0.500 0.500 0.500
15 Y 0.500 0.500 0.000
16 Nd 0.000 0.500 0.000

---

Uncorrected formation energy readings, ordered: -1.7035; -1.7245; -1.6433; -1.6506; -1.7508; -1.6997; -1.3784; -1.3794; -1.3773; -1.7650; -1.7010; -1.8399; -1.7209; -1.7733; -1.7500; -1.8377; -1.7773; -1.2776; -1.7947; -1.7461 eV/atom
DFT total energy readings, ordered: -101.04; -49.27; -51.27; -77.09; -96.11; -48.88; -58.66; -78.29; -39.03; -93.18; -79.24; -57.70; -69.00; -46.71; -69.65; -57.57; -93.59; -49.50; -72.37; -98.29 eV for the cell shown